A PBEsol-optimized structure of CaCr2N2. Source: Alexandria via LeMat-Bulk, functional meta-GGA SCAN.

Cell: 3.143 3.143 7.226 Å, 90.00 90.00 90.00°
Space group P-4m2 (No. 115)
Asymmetric unit:
Ca  0.000  0.000  0.000 [1 per cell]
Cr  0.500  0.500  0.347 [2 per cell]
N  0.000  0.500  0.771 [2 per cell]

Properties
For the energy relative to the elements, uncorrected, the calculation gives -232 meV per atom. For the total energy, the calculation gives -0.48637 hartree per atom.